[1]
TbScIr4 | the Alexandria database | GGA-PBE | relaxed; formation enthalpy at 0 K = -4.59 eV/f.u.
1.0
-4.370 2.851 0.963
-2.245 -0.127 4.806
0.251 4.256 3.159
Ir Sc Tb
4 1 1
Cartesian
-1.790 2.936 5.099
-3.979 4.364 5.582
-2.854 4.428 3.174
-4.105 2.232 3.999
0.000 0.000 0.000
-1.591 1.745 2.232

=====

[2]
Ca2TlFe | the Alexandria database | GGA-PBE | relaxed; formation enthalpy at 0 K = 1.24 eV/f.u.
1.0
9.892 -0.032 -0.019
9.235 3.544 -0.019
9.235 1.696 3.112
Ca Fe Tl
2 1 1
Cartesian
14.398 2.644 1.561
28.145 5.168 3.051
7.090 1.302 0.769
21.271 3.906 2.306

=====

[3]
Y2Mn3 | the Alexandria database | GGA-PBE | relaxed; formation enthalpy at 0 K = 2.92 eV/f.u.
1.0
11.680 -1.631 0.008
11.680 1.631 0.008
11.451 0.000 2.824
Mn Y
3 2
Cartesian
6.805 0.000 0.555
28.007 0.000 2.285
0.000 0.000 0.000
13.969 0.000 1.140
20.842 0.000 1.701

=====

[4]
CaAgOs2 | the Alexandria database | GGA-PBE | relaxed; ΔE to the lowest computed polymorph = 0.2467 eV per atom; formation enthalpy at 0 K = 2.30 eV/f.u.
1.0
2.926 0.000 0.000
0.000 4.731 0.059
0.000 3.414 4.954
Ca Ag Os
1 1 2
Cartesian
0.000 1.707 2.477
1.463 4.073 2.507
0.000 0.000 0.000
1.463 2.366 0.030

=====

[5]
NbSbAu2 | the Alexandria database | GGA-PBE | relaxed; raw total energy = -5.069 eV/atom
1.0
-0.104 7.204 -2.679
-2.844 2.453 6.707
1.144 5.225 2.979
Au Sb Nb
4 2 2
Cartesian
-0.249 7.542 3.748
-1.504 3.744 4.600
-1.720 12.367 5.755
-0.135 6.111 -0.090
-0.217 8.629 1.157
0.000 0.000 0.000
-1.587 6.253 5.850
-1.474 4.828 2.014

=====

[6]
Ta2InW | the Alexandria database | GGA-PBE | relaxed; formation enthalpy at 0 K = 0.42 eV/f.u.
1.0
3.380 0.000 0.000
0.000 3.380 0.000
0.000 0.000 6.447
Ta W In
2 1 1
Cartesian
0.000 0.000 0.163
0.000 0.000 3.060
1.690 1.690 1.612
1.690 1.690 4.836

=====

[7]
Hg2Sb | the Alexandria database | GGA-PBE | relaxed; ΔE to the lowest computed polymorph = 0.0000 eV per atom
1.0
-5.329 -4.251 1.753
-3.576 -5.874 -1.502
1.748 -5.774 3.819
Sb Hg
2 4
Cartesian
-2.341 -4.910 1.187
-6.380 -8.023 0.563
0.416 -2.663 1.552
-4.804 -10.572 2.682
-2.168 -8.135 2.887
1.517 -5.918 3.767

=====

[8]
Tl3AgPt | the Alexandria database | GGA-PBE | relaxed; ΔE to the lowest computed polymorph = 0.0000 eV per atom; formation enthalpy at 0 K = 0.80 eV/f.u.
1.0
-3.770 -0.890 3.710
3.736 0.197 3.844
-0.774 5.286 0.482
Ag Tl Pt
1 3 1
Cartesian
-0.404 2.296 4.018
-0.387 2.643 0.241
-1.885 -0.445 1.855
1.868 0.098 1.922
0.000 0.000 0.000

=====

[9]
ErNbNiRu | the Alexandria database | GGA-PBE | relaxed; formation enthalpy at 0 K = -0.84 eV/f.u.
1.0
-4.127 -1.563 1.242
-0.398 -4.137 1.935
-1.073 -0.359 4.443
Er Ru Nb Ni
1 1 1 1
Cartesian
-2.799 -3.030 3.810
-1.400 -1.515 1.905
0.000 0.000 0.000
-4.199 -4.544 5.715

=====

[10]
Ac6AgTe3Rh2 | the Alexandria database | GGA-PBE | relaxed; raw total energy = -5.321 eV/atom
1.0
-4.941 1.394 5.802
-0.095 -6.860 -3.598
7.081 -1.024 4.550
Ac Te Ag Rh
6 3 1 2
Cartesian
-0.590 -0.117 3.211
0.909 -3.430 6.893
1.137 -3.060 -0.140
-2.095 -4.127 2.544
4.141 -2.363 4.209
2.636 -6.372 3.542
-0.624 -0.440 6.571
1.023 -3.245 3.377
2.670 -6.050 0.182
0.000 0.000 0.000
-3.329 -1.351 2.675
-1.706 -4.115 -0.472

=====

[11]
Al3InS6 | the Alexandria database | GGA-PBE | relaxed; ΔE to the lowest computed polymorph = 0.0000 eV per atom
1.0
-1.584 -0.288 3.107
-11.068 -0.193 -5.660
7.643 -10.997 2.878
S Al In
12 6 2
Cartesian
-6.252 -6.472 -2.801
1.243 -5.006 3.126
-3.832 -4.745 -1.408
-4.673 -9.965 -2.319
-3.827 -7.690 0.293
-0.906 -9.868 -0.390
-4.103 -1.609 0.715
1.692 -8.578 1.054
-0.336 -1.513 2.644
-6.701 -2.900 -0.729
-1.176 -6.733 1.733
-1.182 -3.788 0.032
0.971 -6.395 0.888
-4.423 -2.534 -1.504
-0.586 -8.943 1.829
-2.807 -8.978 -1.277
-5.980 -5.082 -0.563
-2.202 -2.500 1.602
-6.014 -8.312 -0.880
1.006 -3.166 1.205

=====

[12]
KBe2Se | the Alexandria database | GGA-PBE | relaxed; raw total energy = -2.176 eV/atom
1.0
4.880 0.000 0.000
0.003 4.880 0.000
-2.442 -2.440 3.450
Se Be K
1 2 1
Cartesian
2.440 0.000 1.725
0.000 0.000 0.000
0.002 2.440 1.725
2.442 2.440 0.000

=====

Q: Which formula does entry 10 have?
A: Ac6AgTe3Rh2

=====

What did the sixth record say?
Ta2InW | the Alexandria database | GGA-PBE | relaxed; formation enthalpy at 0 K = 0.42 eV/f.u.
1.0
3.380 0.000 0.000
0.000 3.380 0.000
0.000 0.000 6.447
Ta W In
2 1 1
Cartesian
0.000 0.000 0.163
0.000 0.000 3.060
1.690 1.690 1.612
1.690 1.690 4.836

=====

Q: Number 10 is which compound?
A: Ac6AgTe3Rh2